The following is a PBE-GGA calculation of Pm2Al3Pd4 after structural relaxation, from the Alexandria database.

```
Pm2Al3Pd4
1.0
-3.435 -4.509 -0.320
4.743 -3.256 -5.026
5.617 -1.133 6.035
Pm Al Pd
4 6 8
direct
0.108 0.586 0.216 Pm
0.892 0.414 0.784 Pm
0.392 0.086 0.784 Pm
0.608 0.914 0.216 Pm
0.000 0.000 0.000 Al
0.500 0.500 0.000 Al
0.521 0.750 0.542 Al
0.979 0.250 0.458 Al
0.479 0.250 0.458 Al
0.021 0.750 0.542 Al
0.687 0.750 0.873 Pd
0.813 0.250 0.127 Pd
0.313 0.250 0.127 Pd
0.187 0.750 0.873 Pd
0.184 0.981 0.368 Pd
0.816 0.019 0.632 Pd
0.316 0.481 0.632 Pd
0.684 0.519 0.368 Pd
```

Properties
theoretical density	7.8	g/cm³
calculated formation energy	-0.870	eV/atom
volume	18.8	Å³/atom
DOS at the Fermi energy	10.599	states/eV/cell
M_tot	0.000	μB per atom

The following is a PBE-GGA calculation of Pm2Al2Pd3 after structural relaxation, from the Alexandria database.

```
Pm2Al2Pd3
1.0
-1.987 -2.500 2.177
3.352 -2.990 -3.806
3.601 2.299 5.929
Pm Al Pd
2 2 3
direct
0.872 0.744 0.235 Pm
0.128 0.256 0.765 Pm
0.851 0.702 0.774 Al
0.149 0.298 0.226 Al
0.500 0.000 0.000 Pd
0.627 0.254 0.440 Pd
0.373 0.746 0.560 Pd
```

Properties
theoretical density	7.8	g/cm³
calculated formation energy	-0.796	eV/atom
volume	20.3	Å³/atom
DOS at the Fermi energy	4.432	states/eV/cell
M_tot	0.000	μB per atom

The following is a PBE-GGA calculation of Pm5AlPd4 after structural relaxation, from the Alexandria database.

```
Pm5AlPd4
1.0
-3.359 -1.017 0.844
0.444 -3.040 -1.896
6.281 -8.379 14.901
Pm Al Pd
5 1 4
direct
0.500 0.500 0.106 Pm
0.500 0.500 0.303 Pm
0.500 0.500 0.500 Pm
0.500 0.500 0.697 Pm
0.500 0.500 0.894 Pm
0.000 0.000 0.000 Al
0.000 0.000 0.204 Pd
0.000 0.000 0.401 Pd
0.000 0.000 0.599 Pd
0.000 0.000 0.796 Pd
```

Properties
theoretical density	8.2	g/cm³
calculated formation energy	-0.683	eV/atom
volume	23.7	Å³/atom
DOS at the Fermi energy	7.919	states/eV/cell
M_tot	0.000	μB per atom

The following is a PBE-GGA calculation of Pm3Al3Pd2 after structural relaxation, from the Alexandria database.

```
Pm3Al3Pd2
1.0
5.640 0.000 0.000
0.000 8.340 0.000
0.000 0.000 15.472
Pm Al Pd
12 12 8
direct
0.117 0.460 0.389 Pm
0.617 0.040 0.611 Pm
0.883 0.540 0.889 Pm
0.383 0.960 0.111 Pm
0.883 0.540 0.611 Pm
0.383 0.960 0.389 Pm
0.117 0.460 0.111 Pm
0.617 0.040 0.889 Pm
0.612 0.316 0.250 Pm
0.112 0.184 0.750 Pm
0.388 0.684 0.750 Pm
0.888 0.816 0.250 Pm
0.103 0.166 0.250 Al
0.603 0.334 0.750 Al
0.897 0.834 0.750 Al
0.397 0.666 0.250 Al
0.608 0.316 0.465 Al
0.108 0.184 0.535 Al
0.392 0.684 0.965 Al
0.892 0.816 0.035 Al
0.392 0.684 0.535 Al
0.892 0.816 0.465 Al
0.608 0.316 0.035 Al
0.108 0.184 0.965 Al
0.874 0.102 0.395 Pd
0.374 0.398 0.605 Pd
0.126 0.898 0.895 Pd
0.626 0.602 0.105 Pd
0.126 0.898 0.605 Pd
0.626 0.602 0.395 Pd
0.874 0.102 0.105 Pd
0.374 0.398 0.895 Pd
```

Properties
theoretical density	6.7	g/cm³
calculated formation energy	-0.665	eV/atom
volume	22.7	Å³/atom
DOS at the Fermi energy	27.136	states/eV/cell
M_tot	0.000	μB per atom

The following is a PBE-GGA calculation of Pm8AlPd2 after structural relaxation, from the Alexandria database.

```
Pm8AlPd2
1.0
5.467 0.045 -0.925
-1.911 7.332 -3.252
0.096 -0.249 8.241
Pm Al Pd
8 1 2
direct
0.574 0.326 0.086 Pm
0.574 0.086 0.326 Pm
0.185 0.389 0.389 Pm
0.000 0.241 0.767 Pm
0.000 0.767 0.241 Pm
0.815 0.617 0.617 Pm
0.427 0.921 0.680 Pm
0.427 0.680 0.921 Pm
0.000 0.003 0.003 Al
0.499 0.698 0.307 Pd
0.499 0.307 0.698 Pd
```

Properties
theoretical density	7.1	g/cm³
calculated formation energy	-0.244	eV/atom
volume	29.7	Å³/atom
DOS at the Fermi energy	15.857	states/eV/cell
M_tot	0.000	μB per atom

The following is a PBE-GGA calculation of Pm6Al2Pd after structural relaxation, from the Alexandria database.

```
Pm6Al2Pd
1.0
5.027 0.000 -0.196
0.000 7.359 0.000
-2.222 -3.679 7.731
Pm Al Pd
6 2 1
direct
0.163 0.407 0.325 Pm
0.837 0.081 0.675 Pm
0.837 0.593 0.675 Pm
0.500 0.244 0.000 Pm
0.163 0.919 0.325 Pm
0.500 0.756 0.000 Pm
0.666 0.666 0.333 Al
0.334 0.334 0.667 Al
0.000 0.000 0.000 Pd
```

Properties
theoretical density	6.1	g/cm³
calculated formation energy	-0.148	eV/atom
volume	31.4	Å³/atom
DOS at the Fermi energy	12.377	states/eV/cell
M_tot	0.000	μB per atom

The following is a PBE-GGA calculation of PmAl6Pd6 after structural relaxation, from the Alexandria database.

```
PmAl6Pd6
1.0
-1.354 5.238 -0.091
-6.668 1.046 -1.432
-2.651 2.214 5.973
Pm Al Pd
1 6 6
direct
0.000 0.000 0.000 Pm
0.348 0.652 0.652 Al
0.652 0.348 0.348 Al
0.000 0.347 0.653 Al
0.000 0.653 0.347 Al
0.307 0.193 0.193 Al
0.693 0.807 0.807 Al
0.000 0.500 0.000 Pd
0.500 0.500 0.000 Pd
0.000 0.000 0.500 Pd
0.500 0.000 0.500 Pd
0.500 0.766 0.234 Pd
0.500 0.234 0.766 Pd
```

Properties
theoretical density	7.2	g/cm³
calculated formation energy	-0.732	eV/atom
volume	16.7	Å³/atom
DOS at the Fermi energy	7.119	states/eV/cell
M_tot	0.000	μB per atom

The following is a PBE-GGA calculation of PmAl3Pd after structural relaxation, from the Alexandria database.

```
PmAl3Pd
1.0
4.468 0.000 0.000
-2.234 6.606 0.126
0.000 -2.199 6.607
Pm Al Pd
2 6 2
direct
0.863 0.726 0.014 Pm
0.137 0.274 0.986 Pm
0.070 0.140 0.390 Al
0.930 0.860 0.610 Al
0.377 0.753 0.360 Al
0.623 0.247 0.640 Al
0.266 0.532 0.658 Al
0.734 0.468 0.342 Al
0.536 0.072 0.214 Pd
0.464 0.928 0.786 Pd
```

Properties
theoretical density	5.6	g/cm³
excess energy over the best structure of this formula in the dataset	159	meV/atom
calculated formation energy	-0.543	eV/atom
volume	19.6	Å³/atom
DOS at the Fermi energy	4.284	states/eV/cell
M_tot	0.000	μB per atom